Record 1
Here is an optimized crystal structure of Ho12Tm5In2 from Alexandria via LeMat-Bulk. Energies are from PBE.

```
Ho12Tm5In2
1.0
7.639 -4.582 0.000
7.639 4.582 0.000
-0.196 0.000 8.259
Ho Tm In
12 5 2
direct
0.053 0.053 0.325 Ho
0.072 0.678 0.341 Ho
0.163 0.535 0.762 Ho
0.322 0.928 0.659 Ho
0.413 0.413 0.113 Ho
0.465 0.837 0.238 Ho
0.535 0.163 0.762 Ho
0.587 0.587 0.887 Ho
0.678 0.072 0.341 Ho
0.837 0.465 0.238 Ho
0.928 0.322 0.659 Ho
0.947 0.947 0.675 Ho
0.189 0.189 0.005 Tm
0.265 0.265 0.419 Tm
0.500 0.500 0.500 Tm
0.735 0.735 0.581 Tm
0.811 0.811 0.995 Tm
0.181 0.819 0.000 In
0.819 0.181 0.000 In
```

Computed properties:
Symmetry: C2/m, No. 12
E: -4.36 eV per atom
DFT formation energy: 0.000 eV/atom
Magnetization: 0.00 μB per atom
V: 578 Å³/f.u.

***

Record 2
Here is an optimized crystal structure of Ho4TmIn3 from Alexandria via LeMat-Bulk. Energies are from PBE.

```
Ho4TmIn3
1.0
-1.748 4.410 7.474
1.748 -4.410 7.474
1.748 4.410 -7.474
Ho Tm In
4 1 3
direct
0.060 0.861 0.199 Ho
0.338 0.139 0.199 Ho
0.662 0.861 0.801 Ho
0.940 0.139 0.801 Ho
0.500 0.000 0.500 Tm
0.000 0.500 0.500 In
0.316 0.316 0.000 In
0.684 0.684 0.000 In
```

Computed properties:
Symmetry: Immm, No. 71
E: -4.08 eV per atom
Relative energy among the computed polymorphs: 106 meV per atom
DFT formation energy: -0.208 eV/atom
Magnetization: 0.00 μB per atom
V: 230 Å³/f.u.

***

Record 3
Here is an optimized crystal structure of Ho5Tm2In2 from Alexandria via LeMat-Bulk. Energies are from PBE.

```
Ho5Tm2In2
1.0
-7.886 5.208 3.247
7.886 -5.208 3.247
7.886 5.208 -3.247
Ho Tm In
10 4 4
direct
0.103 0.243 0.360 Ho
0.244 0.055 0.299 Ho
0.244 0.445 0.689 Ho
0.337 0.794 0.845 Ho
0.337 0.992 0.043 Ho
0.756 0.555 0.311 Ho
0.756 0.945 0.701 Ho
0.882 0.743 0.640 Ho
0.949 0.294 0.957 Ho
0.949 0.492 0.155 Ho
0.297 0.297 0.000 Tm
0.297 0.797 0.500 Tm
0.467 0.234 0.733 Tm
0.501 0.734 0.267 Tm
0.733 0.172 0.383 In
0.733 0.849 0.061 In
0.789 0.349 0.617 In
0.789 0.672 0.939 In
```

Computed properties:
Symmetry: Ima2, No. 46
E: -4.17 eV per atom
DFT formation energy: -0.023 eV/atom
Magnetization: 0.00 μB per atom
V: 267 Å³/f.u.

***

Record 4
Here is an optimized crystal structure of Ho5Tm5In2 from Alexandria via LeMat-Bulk. Energies are from PBE.

```
Ho5Tm5In2
1.0
7.438 -2.446 0.000
7.438 2.446 0.000
-4.943 0.000 9.624
Ho Tm In
5 5 2
direct
0.000 0.000 0.000 Ho
0.089 0.089 0.763 Ho
0.165 0.165 0.496 Ho
0.835 0.835 0.504 Ho
0.911 0.911 0.237 Ho
0.247 0.247 0.236 Tm
0.417 0.417 0.755 Tm
0.500 0.500 0.500 Tm
0.583 0.583 0.245 Tm
0.753 0.753 0.764 Tm
0.342 0.342 0.000 In
0.658 0.658 0.000 In
```

Computed properties:
Symmetry: C2/m, No. 12
E: -4.35 eV per atom
DFT formation energy: -0.125 eV/atom
Magnetization: 0.00 μB per atom
V: 350 Å³/f.u.